A plane-wave DFT calculation with PBE was carried out for a relaxed VRePI2 crystal.

Summary:
Symmetry: No. 123
Formation energy without anion corrections (eV/atom): 1.750
DOS at the Fermi energy (states/eV per cell): 10.14
Calculated density (kg/m³): 6521

a b c (Å): 5.4608 4.4572 5.4608
angles (deg): 90.00 90.00 90.00
Each line ends with the local moment (μB).
Fractional positions:
P (0.0000, 0.0000, 0.0000)  0.00
I (0.0000, 0.0000, 0.5000)  0.02
I (0.5000, 0.0000, 0.0000)  0.03
Re (0.0000, 0.5000, 0.0000)  0.19
V (0.5000, 0.5000, 0.5000)  -0.18

A plane-wave DFT calculation with PBE was carried out for a relaxed ZnReP2I crystal.

Summary:
Symmetry: No. 123
Formation energy without anion corrections (eV/atom): 1.613
DOS at the Fermi energy (states/eV per cell): 5.77
Calculated density (kg/m³): 6729

a b c (Å): 4.5357 5.2838 4.5357
angles (deg): 90.00 90.00 90.00
Each line ends with the local moment (μB).
Fractional positions:
Zn (0.0000, 0.0000, 0.0000)  0.01
Re (0.0000, 0.5000, 0.0000)  2.60
P (0.0000, 0.0000, 0.5000)  -0.11
P (0.5000, 0.0000, 0.0000)  -0.13
I (0.5000, 0.5000, 0.5000)  -0.06

> What is the formula in the first record?

VRePI2